! AcTm5Tl6, optimized geometry, DFT PBE; values from VASP
&SYSTEM
  ibrav = 0, nat = 12, ntyp = 3
/
ATOMIC_SPECIES
Tl 204.38 Tl.upf
Tm 168.93 Tm.upf
Ac 227.00 Ac.upf
CELL_PARAMETERS angstrom
5.199 -0.005 -1.625
-0.828 7.012 -2.672
0.006 -0.476 9.414
ATOMIC_POSITIONS crystal
Tl 0.174 0.434 0.347
Tl 0.826 0.566 0.653
Tm 0.338 0.838 0.676
Tm 0.662 0.162 0.324
Tl 0.174 0.913 0.347
Tm 0.332 0.332 0.664
Tm 0.000 0.500 0.000
Tl 0.826 0.087 0.653
Tm 0.668 0.668 0.336
Tl 0.500 0.272 0.000
Tl 0.500 0.728 0.000
Ac 0.000 0.000 0.000
! DFT formation energy (meV per atom): -277.6
! Space group: C2/m

! Pm2GdCl, optimized geometry, DFT PBE; values from VASP
&SYSTEM
  ibrav = 0, nat = 4, ntyp = 3
/
ATOMIC_SPECIES
Gd 157.25 Gd.upf
Cl 35.45 Cl.upf
Pm 145.00 Pm.upf
CELL_PARAMETERS angstrom
-2.360 -2.727 0.680
1.124 -3.489 -0.188
2.112 -1.792 10.054
ATOMIC_POSITIONS crystal
Gd 0.500 0.500 0.500
Cl 0.000 0.000 0.000
Pm 0.739 0.739 0.782
Pm 0.261 0.261 0.218
! Formation energy without anion corrections (meV/atom): -670
! Space group: R-3m

! Ti2ZnGa, optimized geometry, DFT PBE; values from VASP
&SYSTEM
  ibrav = 0, nat = 4, ntyp = 3
/
ATOMIC_SPECIES
Zn 65.41 Zn.upf
Ti 47.87 Ti.upf
Ga 69.72 Ga.upf
CELL_PARAMETERS angstrom
3.883 0.000 0.000
0.000 4.008 0.000
0.000 0.000 4.008
ATOMIC_POSITIONS crystal
Zn 0.500 0.500 0.500
Ti 0.000 0.500 0.000
Ti 0.000 0.000 0.500
Ga 0.500 0.000 0.000
! DFT formation energy (meV per atom): -345.1
! Space group: P4/mmm

! Nd3Sm2Hg6, optimized geometry, DFT PBE; values from VASP
&SYSTEM
  ibrav = 0, nat = 11, ntyp = 3
/
ATOMIC_SPECIES
Nd 144.24 Nd.upf
Hg 200.59 Hg.upf
Sm 150.36 Sm.upf
CELL_PARAMETERS angstrom
5.169 0.000 0.000
0.000 5.169 0.000
-2.585 -2.585 13.769
ATOMIC_POSITIONS crystal
Nd 0.140 0.140 0.280
Hg 0.744 0.744 0.487
Hg 0.256 0.256 0.513
Sm 0.629 0.629 0.258
Nd 0.860 0.860 0.720
Hg 0.433 0.933 0.866
Hg 0.067 0.567 0.134
Nd 0.000 0.000 0.000
Hg 0.567 0.067 0.134
Sm 0.371 0.371 0.742
Hg 0.933 0.433 0.866
! DFT formation energy (meV per atom): -114.3
! Space group: I4/mmm